Density functional theory data (PBE) for an optimized crystal structure of BaAsRuF.

The calculation puts the raw total energy at -0.4643 Ry/atom. The crystal system is tetragonal.

Structure (CIF):
```
data_BaAsRuF
_cell_length_a 4.2395
_cell_length_b 4.2395
_cell_length_c 9.4169
_cell_angle_alpha 90.00
_cell_angle_beta 90.00
_cell_angle_gamma 90.00
_symmetry_space_group_name_H-M 'P 4/n m m'
_symmetry_Int_Tables_number 129
loop_
_symmetry_equiv_pos_as_xyz
'x,y,z'
'-x,-y,-z'
'-y+1/2,x,z'
'y+1/2,-x,-z'
'-x+1/2,-y+1/2,z'
'x+1/2,y+1/2,-z'
'y,-x+1/2,z'
'-y,x+1/2,-z'
'x+1/2,-y,-z'
'-x+1/2,y,z'
'-y,-x,-z'
'y,x,z'
'-x,y+1/2,-z'
'x,-y+1/2,z'
'y+1/2,x+1/2,-z'
'-y+1/2,-x+1/2,z'
loop_
_atom_site_label
_atom_site_fract_x
_atom_site_fract_y
_atom_site_fract_z
Ba1 0.2500 0.2500 0.1700
As1 0.2500 0.2500 0.6330
Ru1 0.2500 0.7500 0.5000
F1 0.2500 0.7500 0.0000
```



Density functional theory data (PBE) for an optimized crystal structure of Ba2AsSF.

The calculation puts the raw total energy at -0.3094 Ry/atom. The crystal system is tetragonal.

Structure (CIF):
```
data_Ba2AsSF
_cell_length_a 6.1945
_cell_length_b 6.1945
_cell_length_c 4.3428
_cell_angle_alpha 90.00
_cell_angle_beta 90.00
_cell_angle_gamma 90.00
_symmetry_space_group_name_H-M 'P 4/m m m'
_symmetry_Int_Tables_number 123
_symmetry_space_group_name_Hall '-P 4 2'
loop_
_atom_site_label
_atom_site_fract_x
_atom_site_fract_y
_atom_site_fract_z
Ba1 0.0000 0.5000 0.0000
As1 0.0000 0.0000 0.0000
S1 0.5000 0.5000 0.5000
F1 0.0000 0.0000 0.5000
```



Density functional theory data (PBE) for an optimized crystal structure of BaAs2SeF.

The excess energy over the best structure of this formula in the dataset comes out at 0 meV/atom. The crystal system is tetragonal.

Structure (CIF):
```
data_BaAs2SeF
_cell_length_a 4.5938
_cell_length_b 4.5938
_cell_length_c 5.6641
_cell_angle_alpha 90.00
_cell_angle_beta 90.00
_cell_angle_gamma 90.00
_symmetry_space_group_name_H-M 'P 4/m m m'
_symmetry_Int_Tables_number 123
_symmetry_space_group_name_Hall '-P 4 2'
loop_
_atom_site_label
_atom_site_fract_x
_atom_site_fract_y
_atom_site_fract_z
Ba1 0.0000 0.0000 0.0000
As1 0.0000 0.5000 0.5000
Se1 0.5000 0.5000 0.0000
F1 0.5000 0.5000 0.5000
```



What did the first record say?
Density functional theory data (PBE) for an optimized crystal structure of BaAsRuF.

The calculation puts the raw total energy at -0.4643 Ry/atom. The crystal system is tetragonal.

Structure (CIF):
```
data_BaAsRuF
_cell_length_a 4.2395
_cell_length_b 4.2395
_cell_length_c 9.4169
_cell_angle_alpha 90.00
_cell_angle_beta 90.00
_cell_angle_gamma 90.00
_symmetry_space_group_name_H-M 'P 4/n m m'
_symmetry_Int_Tables_number 129
loop_
_symmetry_equiv_pos_as_xyz
'x,y,z'
'-x,-y,-z'
'-y+1/2,x,z'
'y+1/2,-x,-z'
'-x+1/2,-y+1/2,z'
'x+1/2,y+1/2,-z'
'y,-x+1/2,z'
'-y,x+1/2,-z'
'x+1/2,-y,-z'
'-x+1/2,y,z'
'-y,-x,-z'
'y,x,z'
'-x,y+1/2,-z'
'x,-y+1/2,z'
'y+1/2,x+1/2,-z'
'-y+1/2,-x+1/2,z'
loop_
_atom_site_label
_atom_site_fract_x
_atom_site_fract_y
_atom_site_fract_z
Ba1 0.2500 0.2500 0.1700
As1 0.2500 0.2500 0.6330
Ru1 0.2500 0.7500 0.5000
F1 0.2500 0.7500 0.0000
```